Entry 1:
Material: TaRuPt2
Method: DFT, GGA-PBE
State: relaxed

The structure belongs to space group I-4m2 (No. 119); the cell edges are 3.990, 3.990 and 7.836 Å and the angles 90.00°, 90.00° and 90.00°. Symmetry generates all atoms from Ta at (0.000, 0.000, 0.000), Ru at (0.000, 0.500, 0.750), Pt at (0.000, 0.000, 0.500) and Pt at (0.000, 0.500, 0.250).

The value obtained for the calculated total energy is -70.405 eV per cell.



Entry 2:
Material: Ta2Ru3Pt2
Method: DFT, GGA-PBE
State: relaxed

The structure belongs to space group C2/m (No. 12); the cell edges are 8.847, 3.946 and 6.256 Å and the angles 90.00°, 98.56° and 90.00°. Symmetry generates all atoms from Ta at (0.078, 0.000, 0.232), Ru at (0.000, 0.500, 0.500), Ru at (0.212, 0.000, 0.637) and Pt at (0.143, 0.500, 0.926).

The value obtained for the calculated total energy is -133.239 eV per cell.